The following is a PBE+U calculation of a geometry-optimized AlNiAu2O6 structure, from Alexandria. Values from VASP.

Total DFT energy (no corrections) ... -0.3743 Ry per atom

Cell and atoms, written as Quantum ESPRESSO input:
```
&SYSTEM
  ibrav = 0, nat = 20, ntyp = 4
/
ATOMIC_SPECIES
Al 26.98 Al.upf
Ni 58.69 Ni.upf
Au 196.97 Au.upf
O 16.00 O.upf
CELL_PARAMETERS angstrom
5.594 -3.687 0.000
5.594 3.687 0.000
-1.148 0.000 5.580
ATOMIC_POSITIONS crystal
Al 0.217 0.783 0.750
Al 0.783 0.217 0.250
Ni 0.387 0.613 0.250
Ni 0.613 0.387 0.750
Au 0.103 0.376 0.737
Au 0.376 0.103 0.237
Au 0.624 0.897 0.763
Au 0.897 0.624 0.263
O 0.047 0.282 0.214
O 0.137 0.726 0.415
O 0.274 0.863 0.085
O 0.282 0.047 0.714
O 0.335 0.495 0.870
O 0.495 0.335 0.370
O 0.505 0.665 0.630
O 0.665 0.505 0.130
O 0.718 0.953 0.286
O 0.726 0.137 0.915
O 0.863 0.274 0.585
O 0.953 0.718 0.786
```